The following is a DFT calculation (PBE) of crystalline TbHoBi4Au2 at its relaxed geometry.

symmetry	P4mm
volume	209	Å³/f.u.
total DFT energy (no corrections)	-4.502	eV/atom
magnetization	0.00	μB per formula unit

POSCAR file:
```
TbHoBi4Au2
1.0
4.6206 0.0000 0.0000
0.0000 4.6206 0.0000
0.0000 0.0000 9.7727
Tb Ho Bi Au
1 1 4 2
direct
0.0000 0.0000 0.0000
0.5000 0.5000 0.5423
0.0000 0.0000 0.5692
0.0000 0.5000 0.2716
0.5000 0.0000 0.2716
0.5000 0.5000 0.9699
0.0000 0.5000 0.7685
0.5000 0.0000 0.7685
```